1.
Material: LaPaCl
Method: DFT, GGA-PBE
State: relaxed

## Properties
* total magnetic moment: 0.0000 μB/atom
* crystal system: triclinic
* space-group type: P-1
* E_form (uncorrected): -856.4 meV per atom

Lattice parameters (Å, degrees): 3.717 3.955 11.258 89.75 88.90 89.92
Fractional coordinates of all 6 atoms:
La 0.245 0.248 0.222
La 0.755 0.752 0.778
Pa 0.195 0.247 0.556
Pa 0.805 0.753 0.444
Cl 0.255 0.251 0.895
Cl 0.745 0.749 0.105

***

2.
Material: Mg3H2Ir3
Method: DFT, GGA-PBE
State: relaxed

## Properties
* total magnetic moment: 0.0000 μB/atom
* crystal system: triclinic
* distance to the lowest polymorph of the same formula: 0.32 eV/f.u.
* space-group type: P-1

Lattice parameters (Å, degrees): 4.281 4.794 5.618 79.12 88.59 63.53
Fractional coordinates of all 8 atoms:
Mg 0.000 0.000 0.000
Mg 0.337 0.303 0.664
Mg 0.663 0.697 0.336
H 0.390 0.710 0.637
H 0.610 0.290 0.363
Ir 0.000 0.000 0.500
Ir 0.289 0.360 0.142
Ir 0.711 0.640 0.858